[1]
RbCd2Cu2 PBE-GGA optimized geometry; spin magnetization = 0.000 μB/f.u.; space group = P4/mbm, No. 127; ΔE to the lowest computed polymorph = 0.190 eV/f.u.; mass density = 6.7 g/cm3; DFT total energy = -0.0727 hartree per atom; Fermi-level density of states = 3.10 states/eV per cell
1.0
8.5434 0.0000 0.0000
0.0000 8.5434 0.0000
0.0000 0.0000 2.9844
Rb Cd Cu
2 4 4
direct
0.0000 0.0000 0.0000
0.5000 0.5000 0.0000
0.1302 0.3698 0.5000
0.3698 0.8698 0.5000
0.6302 0.1302 0.5000
0.8698 0.6302 0.5000
0.1592 0.6592 0.0000
0.3408 0.1592 0.0000
0.6592 0.8408 0.0000
0.8408 0.3408 0.0000

[2]
ErCu2Pd5 PBE-GGA optimized geometry; spin magnetization = 0.000 μB/f.u.; space group = I4/mcm, No. 140; mass density = 10.7 g/cm3; DFT total energy = -0.1913 hartree per atom; Fermi-level density of states = 5.82 states/eV per cell
1.0
-3.4155 3.4155 5.4969
3.4155 -3.4155 5.4969
3.4155 3.4155 -5.4969
Er Cu Pd
2 4 10
direct
0.2500 0.2500 0.0000
0.7500 0.7500 0.0000
0.1457 0.6457 0.7914
0.3543 0.1457 0.5000
0.6457 0.8543 0.5000
0.8543 0.3543 0.2086
0.0000 0.0000 0.0000
0.0070 0.7994 0.5000
0.2006 0.7006 0.2077
0.2994 0.5070 0.5000
0.4930 0.9930 0.7923
0.5000 0.5000 0.0000
0.5070 0.0070 0.2077
0.7006 0.4930 0.5000
0.7994 0.2994 0.7923
0.9930 0.2006 0.5000

Question: Fermi-level density of states of number 1 (RbCd2Cu2)?
Answer: 3.10 states/eV per cell